1.
An optimized crystal structure of YRhPb2O6. Source: the Alexandria database, functional GGA-PBE.

## Properties
space group = P2_1/c
total DFT energy (no corrections) = -6.622 eV/atom
total magnetic moment = 0.00 Bohr magnetons per cell
mass density = 8.3 Mg/m³

Unit cell a=5.796 b=5.872 c=8.248 alpha=90.00 beta=90.01 gamma=90.00
Atoms (fractional coordinates):
O 0.723 0.309 0.949
O 0.404 0.970 0.733
O 0.096 0.470 0.767
O 0.818 0.783 0.953
O 0.777 0.809 0.551
O 0.682 0.283 0.547
Pb 0.009 0.960 0.248
O 0.223 0.191 0.449
Rh 0.500 0.000 0.500
Y 0.000 0.500 0.500
O 0.596 0.030 0.267
O 0.277 0.691 0.051
O 0.182 0.217 0.047
O 0.904 0.530 0.233
Pb 0.991 0.040 0.752
Pb 0.491 0.460 0.252
Rh 0.000 0.500 0.000
Y 0.500 0.000 0.000
Pb 0.509 0.540 0.748
O 0.318 0.717 0.453

***

2.
An optimized crystal structure of InAgPW2. Source: the Alexandria database, functional GGA-PBE.

## Properties
space group = P4/mmm
total DFT energy (no corrections) = -5.100 eV/atom
energy of formation = 2.28 eV per atom
total magnetic moment = 3.40 Bohr magnetons per cell
mass density = 9.2 Mg/m³

Unit cell a=5.061 b=4.365 c=5.061 alpha=90.00 beta=90.00 gamma=90.00
Last column: magnetic moment on the atom in μB.
Atoms (fractional coordinates):
In 0.500 0.500 0.500  -0.04
W 0.000 0.000 0.500  1.32
P 0.000 0.500 0.000  -0.02
W 0.500 0.000 0.000  1.35
Ag 0.000 0.000 0.000  0.10

***

3.
An optimized crystal structure of Mn2SeCl. Source: the Alexandria database, functional GGA-PBE.

## Properties
space group = I-42d
total DFT energy (no corrections) = -5.600 eV/atom
total magnetic moment = 0.00 Bohr magnetons per cell
mass density = 5.4 Mg/m³

Unit cell a=5.155 b=5.155 c=6.323 alpha=65.94 beta=65.94 gamma=90.00
Atoms (fractional coordinates):
Mn 0.875 0.853 0.750
Se 0.000 0.000 0.000
Mn 0.603 0.125 0.250
Cl 0.250 0.750 0.500
Mn 0.147 0.625 0.250
Mn 0.375 0.397 0.750
Se 0.750 0.250 0.500
Cl 0.500 0.500 0.000

***

no.,DOS at the Fermi energy (states/eV per atom)
1,0.510
2,1.601
3,0.485